(1)
Crystalline La4GaBr3 at its relaxed geometry, computed with PBE-GGA.

Cell lengths 8.6386, 12.4182, 4.4617 Å; angles 90.00, 90.00, 90.00 degrees
Last column: nearest neighbours and their distance in Å.
Space group Cmmm (No. 65)
One atom of each set of equivalent atoms:
La1 0.0000 0.2409 0.0000 [4 per cell]  1 Ga 2.99, 5 Br 3.11-3.22
La2 0.2340 0.0000 0.5000 [4 per cell]  2 Ga 3.01, 4 Br 3.11-3.20
Ga1 0.0000 0.0000 0.0000 [2 per cell]  6 La 2.99-3.01
Br1 0.0000 0.5000 0.0000 [2 per cell]  6 La 3.20-3.22
Br2 0.2500 0.2500 0.5000 [4 per cell]  6 La 3.11

Calculated values
Formation energy from raw total energies ... -887 kJ/mol of formula units
Density of states at the Fermi level ... 11.42 states/eV per cell



(2)
Crystalline RbTi3Tc at its relaxed geometry, computed with PBE-GGA.

Cell lengths 4.5901, 4.5901, 4.5901 Å; angles 90.00, 90.00, 90.00 degrees
Last column: nearest neighbours and their distance in Å.
Space group Pm-3m (No. 221)
One atom of each set of equivalent atoms:
Rb1 0.0000 0.0000 0.0000 [1 per cell]  6 Ti 2.30
Ti1 0.0000 0.0000 0.5000 [3 per cell]  2 Rb 2.30
Tc1 0.5000 0.5000 0.5000 [1 per cell]  12 Ti 3.25

Calculated values
Density of states at the Fermi level ... 10.08 states/eV per cell
E ... -23.521 eV per cell



(3)
Crystalline CaLaAg at its relaxed geometry, computed with PBE-GGA.

Cell lengths 6.8807, 3.9547, 14.7937 Å; angles 90.00, 90.05, 90.00 degrees
Last column: nearest neighbours and their distance in Å.
Space group C2/m (No. 12)
One atom of each set of equivalent atoms:
Ca1 0.1646 0.0000 0.1088 [4 per cell]  3 Ag 3.07
La1 0.1650 0.0000 0.3984 [4 per cell]  3 Ag 3.19-3.20
Ag1 0.1676 0.0000 0.7524 [4 per cell]  3 Ca 3.07, 3 La 3.19-3.20

Calculated values
Density of states at the Fermi level ... 10.42 states/eV per cell
E ... -39.747 eV per cell



(4)
Crystalline LaEuGd4 at its relaxed geometry, computed with PBE-GGA.

Cell lengths 9.5741, 9.5741, 9.5741 Å; angles 90.00, 90.00, 90.00 degrees
Last column: nearest neighbours and their distance in Å.
Space group F-43m (No. 216)
One atom of each set of equivalent atoms:
La1 0.0000 0.0000 0.0000 [4 per cell]  12 Gd 3.96, 4 Eu 4.15
Eu1 0.2500 0.2500 0.7500 [4 per cell]  12 Gd 3.98, 4 La 4.15
Gd1 0.1272 0.1272 0.3728 [16 per cell]  6 Gd 3.32-3.45

Calculated values
Density of states at the Fermi level ... 49.42 states/eV per cell
E ... -280.674 eV per cell



Results for M_tot: 0.00, 0.00, 1.76, 89.29 (in μB/cell, following the order of the records).